V2PAuF after structural relaxation, computed with PBE with a Hubbard U.

The structure belongs to space group P4/mmm (No. 123); the cell edges are 5.3399, 5.3399 and 4.4787 Å and the angles 90.00°, 90.00° and 90.00°. The inequivalent atoms are V at (0.0000, 0.5000, 0.0000), P at (0.0000, 0.0000, 0.5000), Au at (0.0000, 0.0000, 0.0000) and F at (0.5000, 0.5000, 0.5000).

As for the raw total energy: -4.40 eV per atom.